Computed, not measured: a relaxed MgAl6Ga8 crystal at the PBE level of DFT.

The value obtained for the energy above the most stable polymorph in this dataset is 11 meV per atom. As for the spin magnetization: 0.0 μB per formula unit. Its formation energy is 8.9 kJ/mol of atoms. For the volume, the calculation gives 885 Å³ per cell.

The space group is R-3 (No. 148, hexagonal axes) and the conventional cell measures 7.8698, 7.8698 and 16.4978 Å, with angles of 90.00, 90.00 and 120.00 degrees. The distinct sites, in fractional coordinates, are Mg at (0.0000, 0.0000, 0.0000), Al at (0.0107, 0.3599, 0.0571), Ga at (0.0000, 0.0000, 0.3222) and Ga at (0.0052, 0.3131, 0.8860).